(1)
# GdRe2, relaxed, DFT PBE
# - ΔE_f (eV/atom) = -0.1434
# - total DFT energy (no corrections) (eV per atom) = -13.136
data_GdRe2
_chemical_formula_sum 'Gd4 Re8'
_space_group_name_H-M_alt 'P 1'
_space_group_IT_number 1
_space_group_name_Hall 'P 1'
_cell_length_a 5.4428
_cell_length_b 5.4428
_cell_length_c 8.8661
_cell_angle_alpha 90.00
_cell_angle_beta 90.00
_cell_angle_gamma 120.00
loop_
_atom_site_label
_atom_site_type_symbol
_atom_site_fract_x
_atom_site_fract_y
_atom_site_fract_z
_atom_site_occupancy
Gd1 Gd 0.3333 0.6667 0.0626 1
Gd2 Gd 0.3333 0.6667 0.4374 1
Gd3 Gd 0.6667 0.3333 0.5626 1
Gd4 Gd 0.6667 0.3333 0.9374 1
Re1 Re 0.0000 0.0000 0.0000 1
Re2 Re 0.0000 0.0000 0.5000 1
Re3 Re 0.1708 0.3417 0.7500 1
Re4 Re 0.1708 0.8292 0.7500 1
Re5 Re 0.3417 0.1708 0.2500 1
Re6 Re 0.6583 0.8292 0.7500 1
Re7 Re 0.8292 0.1708 0.2500 1
Re8 Re 0.8292 0.6583 0.2500 1

(2)
# Gd2ReRh, relaxed, DFT PBE
# - ΔE_f (eV/atom) = -0.1103
# - total DFT energy (no corrections) (eV per atom) = -12.101
data_Gd2ReRh
_chemical_formula_sum 'Gd2 Re1 Rh1'
_space_group_name_H-M_alt 'P 1'
_space_group_IT_number 1
_space_group_name_Hall 'P 1'
_cell_length_a 4.8977
_cell_length_b 4.8977
_cell_length_c 3.4555
_cell_angle_alpha 90.00
_cell_angle_beta 90.00
_cell_angle_gamma 90.00
loop_
_atom_site_label
_atom_site_type_symbol
_atom_site_fract_x
_atom_site_fract_y
_atom_site_fract_z
_atom_site_occupancy
Gd1 Gd 0.0000 0.5000 0.0000 1
Gd2 Gd 0.5000 0.0000 0.0000 1
Re1 Re 0.0000 0.0000 0.5000 1
Rh1 Rh 0.5000 0.5000 0.5000 1

(3)
# Gd2ScRe, relaxed, DFT PBE
# - ΔE_f (eV/atom) = 0.7601
# - total DFT energy (no corrections) (eV per atom) = -10.975
data_Gd2ScRe
_chemical_formula_sum 'Gd6 Sc3 Re3'
_space_group_name_H-M_alt 'P 1'
_space_group_IT_number 1
_space_group_name_Hall 'P 1'
_cell_length_a 3.1774
_cell_length_b 3.1774
_cell_length_c 33.2004
_cell_angle_alpha 90.00
_cell_angle_beta 90.00
_cell_angle_gamma 120.00
loop_
_atom_site_label
_atom_site_type_symbol
_atom_site_fract_x
_atom_site_fract_y
_atom_site_fract_z
_atom_site_occupancy
Gd1 Gd 0.0000 0.0000 0.0805 1
Gd2 Gd 0.0000 0.0000 0.9195 1
Gd3 Gd 0.3333 0.6667 0.5861 1
Gd4 Gd 0.3333 0.6667 0.7472 1
Gd5 Gd 0.6667 0.3333 0.2528 1
Gd6 Gd 0.6667 0.3333 0.4139 1
Sc1 Sc 0.0000 0.0000 0.5000 1
Sc2 Sc 0.3333 0.6667 0.1667 1
Sc3 Sc 0.6667 0.3333 0.8333 1
Re1 Re 0.0000 0.0000 0.0000 1
Re2 Re 0.3333 0.6667 0.6667 1
Re3 Re 0.6667 0.3333 0.3333 1

(4)
# GdSc2Re, relaxed, DFT PBE
# - ΔE_f (eV/atom) = 0.6027
# - total DFT energy (no corrections) (eV per atom) = -9.195
# - excess energy over the best structure of this formula in the dataset (meV/atom) = 591
data_GdSc2Re
_chemical_formula_sum 'Gd3 Sc6 Re3'
_space_group_name_H-M_alt 'P 1'
_space_group_IT_number 1
_space_group_name_Hall 'P 1'
_cell_length_a 3.0749
_cell_length_b 3.0749
_cell_length_c 32.3677
_cell_angle_alpha 90.00
_cell_angle_beta 90.00
_cell_angle_gamma 120.00
loop_
_atom_site_label
_atom_site_type_symbol
_atom_site_fract_x
_atom_site_fract_y
_atom_site_fract_z
_atom_site_occupancy
Gd1 Gd 0.0000 0.0000 0.0000 1
Gd2 Gd 0.3333 0.6667 0.6667 1
Gd3 Gd 0.6667 0.3333 0.3333 1
Sc1 Sc 0.0000 0.0000 0.4215 1
Sc2 Sc 0.0000 0.0000 0.5785 1
Sc3 Sc 0.3333 0.6667 0.0882 1
Sc4 Sc 0.3333 0.6667 0.2452 1
Sc5 Sc 0.6667 0.3333 0.7548 1
Sc6 Sc 0.6667 0.3333 0.9118 1
Re1 Re 0.0000 0.0000 0.5000 1
Re2 Re 0.3333 0.6667 0.1667 1
Re3 Re 0.6667 0.3333 0.8333 1

(5)
# GdSc2Re, relaxed, DFT PBE
# - ΔE_f (eV/atom) = 0.0115
# - total DFT energy (no corrections) (eV per atom) = -9.787
# - excess energy over the best structure of this formula in the dataset (meV/atom) = 0
data_GdSc2Re
_chemical_formula_sum 'Gd1 Sc2 Re1'
_space_group_name_H-M_alt 'P 1'
_space_group_IT_number 1
_space_group_name_Hall 'P 1'
_cell_length_a 3.2967
_cell_length_b 3.2967
_cell_length_c 8.5324
_cell_angle_alpha 90.00
_cell_angle_beta 90.00
_cell_angle_gamma 90.00
loop_
_atom_site_label
_atom_site_type_symbol
_atom_site_fract_x
_atom_site_fract_y
_atom_site_fract_z
_atom_site_occupancy
Gd1 Gd 0.0000 0.0000 0.0000 1
Sc1 Sc 0.5000 0.5000 0.3196 1
Sc2 Sc 0.5000 0.5000 0.6804 1
Re1 Re 0.0000 0.0000 0.5000 1

(6)
# SmGdRe4, relaxed, DFT PBE
# - ΔE_f (eV/atom) = -0.0678
# - total DFT energy (no corrections) (eV per atom) = -11.500
data_SmGdRe4
_chemical_formula_sum 'Sm1 Gd1 Re4'
_space_group_name_H-M_alt 'P 1'
_space_group_IT_number 1
_space_group_name_Hall 'P 1'
_cell_length_a 5.4619
_cell_length_b 5.4619
_cell_length_c 5.4619
_cell_angle_alpha 60.00
_cell_angle_beta 60.00
_cell_angle_gamma 60.00
loop_
_atom_site_label
_atom_site_type_symbol
_atom_site_fract_x
_atom_site_fract_y
_atom_site_fract_z
_atom_site_occupancy
Sm1 Sm 0.0000 0.0000 0.0000 1
Gd1 Gd 0.2500 0.2500 0.2500 1
Re1 Re 0.1250 0.6250 0.6250 1
Re2 Re 0.6250 0.1250 0.6250 1
Re3 Re 0.6250 0.6250 0.1250 1
Re4 Re 0.6250 0.6250 0.6250 1

(7)
# SrGd3Re, relaxed, DFT PBE
# - ΔE_f (eV/atom) = 0.1488
# - total DFT energy (no corrections) (eV per atom) = -11.126
data_SrGd3Re
_chemical_formula_sum 'Sr1 Gd3 Re1'
_space_group_name_H-M_alt 'P 1'
_space_group_IT_number 1
_space_group_name_Hall 'P 1'
_cell_length_a 5.5681
_cell_length_b 5.5681
_cell_length_c 5.5681
_cell_angle_alpha 90.00
_cell_angle_beta 90.00
_cell_angle_gamma 90.00
loop_
_atom_site_label
_atom_site_type_symbol
_atom_site_fract_x
_atom_site_fract_y
_atom_site_fract_z
_atom_site_occupancy
Sr1 Sr 0.0000 0.0000 0.0000 1
Gd1 Gd 0.0000 0.5000 0.5000 1
Gd2 Gd 0.5000 0.0000 0.5000 1
Gd3 Gd 0.5000 0.5000 0.0000 1
Re1 Re 0.5000 0.5000 0.5000 1

(8)
# GdReTc2, relaxed, DFT PBE
# - ΔE_f (eV/atom) = 0.1725
# - total DFT energy (no corrections) (eV per atom) = -11.643
data_GdReTc2
_chemical_formula_sum 'Gd1 Re1 Tc2'
_space_group_name_H-M_alt 'P 1'
_space_group_IT_number 1
_space_group_name_Hall 'P 1'
_cell_length_a 3.1596
_cell_length_b 3.1596
_cell_length_c 7.0320
_cell_angle_alpha 90.00
_cell_angle_beta 90.00
_cell_angle_gamma 90.00
loop_
_atom_site_label
_atom_site_type_symbol
_atom_site_fract_x
_atom_site_fract_y
_atom_site_fract_z
_atom_site_occupancy
Gd1 Gd 0.0000 0.0000 0.0000 1
Re1 Re 0.0000 0.0000 0.5000 1
Tc1 Tc 0.5000 0.5000 0.2900 1
Tc2 Tc 0.5000 0.5000 0.7100 1